1.
A plane-wave DFT calculation with GGA-PBEsol was carried out for BaMoAs2 after structural relaxation.

Cell and atoms, written as CIF:
```
data_BaMoAs2
_chemical_formula_sum 'Ba2 Mo2 As4'
_cell_length_a 4.699
_cell_length_b 3.724
_cell_length_c 12.261
_cell_angle_alpha 90.00
_cell_angle_beta 90.00
_cell_angle_gamma 90.00
_symmetry_space_group_name_H-M 'A m m 2'
_symmetry_Int_Tables_number 38
_symmetry_space_group_name_Hall 'A 2 -2'
loop_
_atom_site_label
_atom_site_fract_x
_atom_site_fract_y
_atom_site_fract_z
Ba1 0.000 0.000 0.000
Mo1 0.500 0.000 0.243
As1 0.000 0.000 0.281
As2 0.500 0.000 0.612
```

Results
Size of the total moment in μB per atom: 0.000
Formation energy from the elements in eV/atom: -0.214
Distance to the lowest polymorph of the same formula in eV per atom: 0.1580

2.
A plane-wave DFT calculation with GGA-PBEsol was carried out for Ba2MoAs after structural relaxation.

Cell and atoms, written as CIF:
```
data_Ba2MoAs
_chemical_formula_sum 'Ba2 Mo1 As1'
_cell_length_a 3.548
_cell_length_b 3.548
_cell_length_c 9.481
_cell_angle_alpha 90.00
_cell_angle_beta 90.00
_cell_angle_gamma 90.00
_symmetry_space_group_name_H-M 'P 4 m m'
_symmetry_Int_Tables_number 99
_symmetry_space_group_name_Hall 'P 4 -2'
loop_
_atom_site_label
_atom_site_fract_x
_atom_site_fract_y
_atom_site_fract_z
Ba1 0.000 0.000 0.000
Ba2 0.500 0.500 0.435
Mo1 0.000 0.000 0.682
As1 0.500 0.500 0.775
```

Results
Size of the total moment in μB per atom: 0.001
Formation energy from the elements in eV/atom: 0.051

3.
A plane-wave DFT calculation with GGA-PBEsol was carried out for BaMoAs2 after structural relaxation.

Cell and atoms, written as CIF:
```
data_BaMoAs2
_chemical_formula_sum 'Ba3 Mo3 As6'
_cell_length_a 3.7519
_cell_length_b 3.7519
_cell_length_c 22.4197
_cell_angle_alpha 90.00
_cell_angle_beta 90.00
_cell_angle_gamma 120.00
_symmetry_space_group_name_H-M 'R 3 m'
_symmetry_Int_Tables_number 160
_symmetry_space_group_name_Hall 'R 3 -2"'
loop_
_atom_site_label
_atom_site_fract_x
_atom_site_fract_y
_atom_site_fract_z
Ba1 0.0000 0.0000 0.0000
Mo1 0.0000 0.0000 0.1734
As1 0.0000 0.0000 0.5673
As2 0.0000 0.0000 0.7751
```

Results
Size of the total moment in μB per atom: 0.000
Formation energy from the elements in eV/atom: -0.372
Distance to the lowest polymorph of the same formula in eV per atom: 0.0000

4.
A plane-wave DFT calculation with GGA-PBEsol was carried out for Ba3MoAs after structural relaxation.

Cell and atoms, written as CIF:
```
data_Ba3MoAs
_chemical_formula_sum 'Ba3 Mo1 As1'
_cell_length_a 6.238
_cell_length_b 6.238
_cell_length_c 6.238
_cell_angle_alpha 90.00
_cell_angle_beta 90.00
_cell_angle_gamma 90.00
_symmetry_space_group_name_H-M 'P m -3 m'
_symmetry_Int_Tables_number 221
_symmetry_space_group_name_Hall '-P 4 2 3'
loop_
_atom_site_label
_atom_site_fract_x
_atom_site_fract_y
_atom_site_fract_z
Ba1 0.000 0.000 0.500
Mo1 0.500 0.500 0.500
As1 0.000 0.000 0.000
```

Results
Size of the total moment in μB per atom: 1.076
Formation energy from the elements in eV/atom: 0.539

5.
A plane-wave DFT calculation with GGA-PBEsol was carried out for Ba2NiMoAs after structural relaxation.

Cell and atoms, written as CIF:
```
data_Ba2NiMoAs
_chemical_formula_sum 'Ba2 Ni1 Mo1 As1'
_cell_length_a 5.761
_cell_length_b 5.761
_cell_length_c 4.365
_cell_angle_alpha 90.00
_cell_angle_beta 90.00
_cell_angle_gamma 90.00
_symmetry_space_group_name_H-M 'P 4/m m m'
_symmetry_Int_Tables_number 123
_symmetry_space_group_name_Hall '-P 4 2'
loop_
_atom_site_label
_atom_site_fract_x
_atom_site_fract_y
_atom_site_fract_z
Ba1 0.000 0.500 0.000
Ni1 0.000 0.000 0.500
Mo1 0.000 0.000 0.000
As1 0.500 0.500 0.500
```

Results
Size of the total moment in μB per atom: 0.000
Formation energy from the elements in eV/atom: 0.710

6.
A plane-wave DFT calculation with GGA-PBEsol was carried out for Ba3AsN after structural relaxation.

Cell and atoms, written as CIF:
```
data_Ba3AsN
_chemical_formula_sum 'Ba3 As1 N1'
_cell_length_a 5.398
_cell_length_b 5.398
_cell_length_c 5.398
_cell_angle_alpha 90.00
_cell_angle_beta 90.00
_cell_angle_gamma 90.00
_symmetry_space_group_name_H-M 'P m -3 m'
_symmetry_Int_Tables_number 221
_symmetry_space_group_name_Hall '-P 4 2 3'
loop_
_atom_site_label
_atom_site_fract_x
_atom_site_fract_y
_atom_site_fract_z
Ba1 0.000 0.000 0.500
As1 0.500 0.500 0.500
N1 0.000 0.000 0.000
```

Results
Size of the total moment in μB per atom: 0.000
E_form (uncorrected) in kcal/mol of atoms: -16.7